! KHg3Pb (PBE-GGA, optimized geometry); values from VASP
! formation energy from the elements = -0.15 eV per atom
! ΔE to the lowest computed polymorph = 15 meV/atom
! DOS(E_F) = 4.06 states/eV/cell
! V = 29.90 A^3/atom
! electronic total energy = -1.29 eV/atom
&SYSTEM
  ibrav = 0, nat = 10, ntyp = 3
/
ATOMIC_SPECIES
K 39.10 K.upf
Hg 200.59 Hg.upf
Pb 207.20 Pb.upf
CELL_PARAMETERS angstrom
1.7791 -15.9419 0.0000
1.7791 15.9419 0.0000
0.0000 0.0000 5.2707
ATOMIC_POSITIONS angstrom
K 1.7791 13.5022 3.9530
K 1.7791 -13.5022 1.3177
Hg 1.7791 5.5751 1.3177
Hg 1.7791 4.0338 3.9530
Hg 1.7791 0.8185 3.9530
Hg 1.7791 -0.8185 1.3177
Hg 1.7791 -4.0338 1.3177
Hg 1.7791 -5.5751 3.9530
Pb 1.7791 8.7950 1.3177
Pb 1.7791 -8.7950 3.9530

=====

! K6Hg23Pb (PBE-GGA, optimized geometry); values from VASP
! formation energy from the elements = -0.18 eV per atom
! DOS(E_F) = 11.02 states/eV/cell
! V = 30.27 A^3/atom
! electronic total energy = -0.76 eV/atom
&SYSTEM
  ibrav = 0, nat = 30, ntyp = 3
/
ATOMIC_SPECIES
K 39.10 K.upf
Hg 200.59 Hg.upf
Pb 207.20 Pb.upf
CELL_PARAMETERS angstrom
0.0000 7.6857 7.6857
7.6857 0.0000 7.6857
7.6857 7.6857 0.0000
ATOMIC_POSITIONS angstrom
K 7.6857 7.6857 3.5568
K 7.6857 3.5568 7.6857
K 11.8147 7.6857 7.6857
K 3.5568 7.6857 7.6857
K 7.6857 11.8147 7.6857
K 7.6857 7.6857 11.8147
Hg 0.0000 0.0000 0.0000
Hg 3.8429 3.8429 0.0000
Hg 3.8429 0.0000 3.8429
Hg 7.6857 3.8429 3.8429
Hg 9.6186 5.7528 5.7528
Hg 2.3338 2.3338 2.3338
Hg 5.3519 5.3519 2.3338
Hg 5.3519 2.3338 5.3519
Hg 5.7528 5.7528 5.7528
Hg 9.6186 9.6186 5.7528
Hg 9.6186 5.7528 9.6186
Hg 13.0377 10.0195 10.0195
Hg 0.0000 3.8429 3.8429
Hg 3.8429 7.6857 3.8429
Hg 3.8429 3.8429 7.6857
Hg 2.3338 5.3519 5.3519
Hg 5.7528 9.6186 5.7528
Hg 5.7528 5.7528 9.6186
Hg 9.6186 9.6186 9.6186
Hg 10.0195 13.0377 10.0195
Hg 10.0195 10.0195 13.0377
Hg 13.0377 13.0377 13.0377
Hg 5.7528 9.6186 9.6186
Pb 7.6857 7.6857 7.6857

=====

! KHgPb (PBE-GGA, optimized geometry); values from VASP
! formation energy from the elements = -0.19 eV per atom
! ΔE to the lowest computed polymorph = 0 meV/atom
! DOS(E_F) = 3.11 states/eV/cell
! V = 34.02 A^3/atom
! electronic total energy = -1.90 eV/atom
&SYSTEM
  ibrav = 0, nat = 6, ntyp = 3
/
ATOMIC_SPECIES
K 39.10 K.upf
Hg 200.59 Hg.upf
Pb 207.20 Pb.upf
CELL_PARAMETERS angstrom
5.9930 -2.6046 0.0000
5.9930 2.6046 0.0000
-5.7316 0.0000 6.5377
ATOMIC_POSITIONS angstrom
K -1.0825 0.0000 2.1433
K 7.3369 0.0000 4.3944
Hg 2.4673 0.0000 1.9068
Hg 3.7871 0.0000 4.6309
Pb -1.2432 0.0000 6.0129
Pb 7.4976 0.0000 0.5248